1.
# La4HgIrCl2, relaxed, DFT PBE-GGA
# Final energy, eV/atom: -5.19
data_La4HgIrCl2
_cell_length_a 7.689
_cell_length_b 4.257
_cell_length_c 7.772
_cell_angle_alpha 90.00
_cell_angle_beta 108.98
_cell_angle_gamma 90.00
_symmetry_space_group_name_H-M 'P 1 2/m 1'
_symmetry_Int_Tables_number 10
loop_
_symmetry_equiv_pos_as_xyz
'x,y,z'
'-x,-y,-z'
'-x,y,-z'
'x,-y,z'
loop_
_atom_site_label
_atom_site_fract_x
_atom_site_fract_y
_atom_site_fract_z
_atom_site_occupancy
La1 0.216 0.000 0.265 1
La2 0.227 0.500 0.719 1
Hg1 0.500 0.500 0.500 1
Ir1 0.000 0.000 0.500 1
Cl1 0.000 0.500 0.000 1
Cl2 0.500 0.000 0.000 1



2.
# LaHgIrCl2, relaxed, DFT PBE-GGA
# Final energy, eV/atom: -3.11
data_LaHgIrCl2
_cell_length_a 4.841
_cell_length_b 4.841
_cell_length_c 7.194
_cell_angle_alpha 90.00
_cell_angle_beta 90.00
_cell_angle_gamma 90.00
_symmetry_space_group_name_H-M 'P 4/m m m'
_symmetry_Int_Tables_number 123
_symmetry_space_group_name_Hall '-P 4 2'
loop_
_atom_site_label
_atom_site_fract_x
_atom_site_fract_y
_atom_site_fract_z
_atom_site_occupancy
La1 0.000 0.000 0.000 1
Hg1 0.000 0.000 0.500 1
Ir1 0.500 0.500 0.000 1
Cl1 0.000 0.500 0.500 1



Here are the calculated size of the total moment numbers, same order: 0.00, 0.78 (Bohr magnetons per cell).